[1]
VASP calculation (SCAN) on Ta2CoBiPt at its PBEsol-relaxed geometry.

It has space group P4/mmm (No. 123), with a = 5.103 Å, b = 5.103 Å, c = 4.848 Å, α = 90.00°, β = 90.00° and γ = 90.00°. The inequivalent atoms are Ta at (0.000, 0.500, 0.000), Co at (0.000, 0.000, 0.500), Bi at (0.500, 0.500, 0.000) and Pt at (0.500, 0.500, 0.500).


[2]
VASP calculation (SCAN) on RbCoBiW2 at its PBEsol-relaxed geometry.

It has space group P4/mmm (No. 123), with a = 4.556 Å, b = 4.556 Å, c = 5.417 Å, α = 90.00°, β = 90.00° and γ = 90.00°. The inequivalent atoms are Rb at (0.000, 0.000, 0.000), Co at (0.000, 0.000, 0.500), Bi at (0.500, 0.500, 0.000) and W at (0.000, 0.500, 0.500).


no.,formation energy (eV per atom),magnetization (μB/f.u.)
1,2.376,2.381
2,1.893,0.006